Computed, not measured: a relaxed Zr2CoSe2 crystal at the GGA-PBEsol level of DFT.

```
Zr2CoSe2
1.0
-0.950 5.080 0.052
-3.690 -3.304 -1.502
-4.125 -0.802 3.008
Co Se Zr
1 2 2
Direct
0.000 0.000 0.000
0.304 0.609 0.696
0.696 0.391 0.304
0.250 0.500 0.250
0.750 0.500 0.750
```

Computed properties:
ρ = 6.77 g/cm3
size of the total moment = 0.001 μB per atom
formation energy from raw total energies = -2.708 eV/f.u.
VASP energy = -7.2651 eV per atom
crystal system = tetragonal